{"formula": "K2MnBe", "functional": "PBE", "state": "relaxed", "sg": "R-3m (166)", "final_energy_ev_per_cell": -10.08, "m_tot_mub_per_fu": 4.39, "cell": [[1.690, 0.976, 11.938], [-1.690, 0.976, 11.938], [0.000, -1.951, 11.938]], "species": ["K", "K", "Mn", "Be"], "fractional_positions": [[0.247, 0.247, 0.247], [0.753, 0.753, 0.753], [0.000, 0.000, 0.000], [0.500, 0.500, 0.500]]}